No. 1
{"formula": "Na2PmHg8", "functional": "PBE-GGA", "state": "relaxed", "spacegroup": "C2/m", "formation_energy_ev_per_atom": -0.242, "dft_energy_ev_per_cell": -12.464, "dos_ef_per_ev_fu": 3.9, "lattice_angstrom": [[-1.466, 4.614, -1.173], [-6.539, -1.270, 3.174], [5.897, 0.719, 6.035]], "species": ["Hg", "Hg", "Hg", "Hg", "Pm", "Hg", "Na", "Hg", "Hg", "Na", "Hg"], "frac_coords": [[0.327, 0.111, 0.654], [0.149, 0.158, 0.298], [0.978, 0.281, 0.956], [0.402, 0.544, 0.804], [0.500, 0.000, 0.000], [0.598, 0.456, 0.196], [0.220, 0.648, 0.439], [0.673, 0.889, 0.346], [0.851, 0.842, 0.702], [0.780, 0.352, 0.561], [0.022, 0.719, 0.044]]}

=====

No. 2
{"formula": "NaPmHgPt", "functional": "PBE-GGA", "state": "relaxed", "spacegroup": "F-43m", "formation_energy_ev_per_atom": -0.495, "dft_energy_ev_per_cell": -14.392, "dos_ef_per_ev_fu": 2.3, "lattice_angstrom": [[5.073, 0.000, 0.000], [2.536, 4.393, 0.000], [2.536, 1.464, 4.142]], "species": ["Pt", "Na", "Pm", "Hg"], "frac_coords": [[0.250, 0.250, 0.250], [0.000, 0.000, 0.000], [0.500, 0.500, 0.500], [0.750, 0.750, 0.750]]}

=====

No. 3
{"formula": "NaPmHgSb", "functional": "PBE-GGA", "state": "relaxed", "spacegroup": "F-43m", "formation_energy_uncorrected_kj_per_mol_atoms": -50, "dft_energy_ev_per_cell": -12.580, "dos_ef_per_ev_fu": 3.3, "lattice_angstrom": [[5.355, 0.000, 0.000], [2.677, 4.638, 0.000], [2.677, 1.546, 4.372]], "species": ["Na", "Sb", "Hg", "Pm"], "frac_coords": [[0.000, 0.000, 0.000], [0.250, 0.250, 0.250], [0.750, 0.750, 0.750], [0.500, 0.500, 0.500]]}